## La6TeAs5 (GGA-PBE)

Data for a relaxed La6TeAs5 crystal.

Summary:
Uncorrected formation energy, kJ/mol of formula units: -1865

Cell and atoms, written as CIF:
```
data_La6TeAs5
_chemical_formula_sum 'La12 Te2 As10'
_space_group_name_H-M_alt 'C 1 2/m 1'
_space_group_IT_number 12
_cell_length_a 7.6433
_cell_length_b 13.2235
_cell_length_c 7.6362
_cell_angle_alpha 90.00
_cell_angle_beta 109.52
_cell_angle_gamma 90.00
loop_
_space_group_symop_operation_xyz
'x,y,z'
'-x,-y,-z'
'-x,y,-z'
'x,-y,z'
'x+1/2,y+1/2,z'
'-x+1/2,-y+1/2,-z'
'-x+1/2,y+1/2,-z'
'x+1/2,-y+1/2,z'
loop_
_atom_site_label
_atom_site_type_symbol
_atom_site_fract_x
_atom_site_fract_y
_atom_site_fract_z
La1 La 0.2397 0.0000 0.2572
La2 La 0.2410 0.1732 0.7432
Te1 Te 0.0000 0.5000 0.0000
As1 As 0.0000 0.0000 0.5000
As2 As 0.0000 0.1672 0.0000
As3 As 0.0000 0.3369 0.5000
```

## La3Te2As (GGA-PBE)

Data for a relaxed La3Te2As crystal.

Summary:
Uncorrected formation energy, kJ/mol of formula units: -940
Relative energy among the computed polymorphs, meV per atom: 9

Cell and atoms, written as CIF:
```
data_La3Te2As
_chemical_formula_sum 'La6 Te4 As2'
_space_group_name_H-M_alt 'I m m m'
_space_group_IT_number 71
_space_group_name_Hall '-I 2 2'
_cell_length_a 4.4639
_cell_length_b 6.3726
_cell_length_c 13.7093
_cell_angle_alpha 90.00
_cell_angle_beta 90.00
_cell_angle_gamma 90.00
loop_
_atom_site_label
_atom_site_type_symbol
_atom_site_fract_x
_atom_site_fract_y
_atom_site_fract_z
La1 La 0.0000 0.0000 0.0000
La2 La 0.0000 0.0000 0.3496
Te1 Te 0.0000 0.5000 0.3282
As1 As 0.0000 0.5000 0.0000
```

## LaTe2As2 (GGA-PBE)

Data for a relaxed LaTe2As2 crystal.

Summary:
Uncorrected formation energy, kJ/mol of formula units: -192
Relative energy among the computed polymorphs, meV per atom: 163

Cell and atoms, written as CIF:
```
data_LaTe2As2
_chemical_formula_sum 'La2 Te4 As4'
_space_group_name_H-M_alt 'I 4/m m m'
_space_group_IT_number 139
_space_group_name_Hall '-I 4 2'
_cell_length_a 4.1929
_cell_length_b 4.1929
_cell_length_c 19.8727
_cell_angle_alpha 90.00
_cell_angle_beta 90.00
_cell_angle_gamma 90.00
loop_
_atom_site_label
_atom_site_type_symbol
_atom_site_fract_x
_atom_site_fract_y
_atom_site_fract_z
La1 La 0.0000 0.0000 0.0000
Te1 Te 0.0000 0.5000 0.2500
As1 As 0.0000 0.0000 0.4392
```

## La4Te3As (GGA-PBE)

Data for a relaxed La4Te3As crystal.

Summary:
Uncorrected formation energy, kJ/mol of formula units: -1249

Cell and atoms, written as CIF:
```
data_La4Te3As
_chemical_formula_sum 'La12 Te9 As3'
_space_group_name_H-M_alt 'R -3 m'
_space_group_IT_number 166
_space_group_name_Hall '-R 3 2"'
_cell_length_a 4.4984
_cell_length_b 4.4984
_cell_length_c 45.0145
_cell_angle_alpha 90.00
_cell_angle_beta 90.00
_cell_angle_gamma 120.00
loop_
_atom_site_label
_atom_site_type_symbol
_atom_site_fract_x
_atom_site_fract_y
_atom_site_fract_z
La1 La 0.0000 0.0000 0.1247
La2 La 0.0000 0.0000 0.3696
Te1 Te 0.0000 0.0000 0.2521
Te2 Te 0.0000 0.0000 0.5000
As1 As 0.0000 0.0000 0.0000
```

## LaTe2As2 (GGA-PBE)

Data for a relaxed LaTe2As2 crystal.

Summary:
Uncorrected formation energy, kJ/mol of formula units: -202
Relative energy among the computed polymorphs, meV per atom: 143

Cell and atoms, written as CIF:
```
data_LaTe2As2
_chemical_formula_sum 'La2 Te4 As4'
_space_group_name_H-M_alt 'I 4/m m m'
_space_group_IT_number 139
_space_group_name_Hall '-I 4 2'
_cell_length_a 4.0025
_cell_length_b 4.0025
_cell_length_c 17.9353
_cell_angle_alpha 90.00
_cell_angle_beta 90.00
_cell_angle_gamma 90.00
loop_
_atom_site_label
_atom_site_type_symbol
_atom_site_fract_x
_atom_site_fract_y
_atom_site_fract_z
La1 La 0.0000 0.0000 0.0000
Te1 Te 0.0000 0.0000 0.4071
As1 As 0.0000 0.5000 0.2500
```

## La7TeAs5 (GGA-PBE)

Data for a relaxed La7TeAs5 crystal.

Summary:
Uncorrected formation energy, kJ/mol of formula units: -1825

Cell and atoms, written as CIF:
```
data_La7TeAs5
_chemical_formula_sum 'La28 Te4 As20'
_space_group_name_H-M_alt 'C 1 2/m 1'
_space_group_IT_number 12
_cell_length_a 14.4760
_cell_length_b 4.3673
_cell_length_c 25.7616
_cell_angle_alpha 90.00
_cell_angle_beta 90.06
_cell_angle_gamma 90.00
loop_
_space_group_symop_operation_xyz
'x,y,z'
'-x,-y,-z'
'-x,y,-z'
'x,-y,z'
'x+1/2,y+1/2,z'
'-x+1/2,-y+1/2,-z'
'-x+1/2,y+1/2,-z'
'x+1/2,-y+1/2,z'
loop_
_atom_site_label
_atom_site_type_symbol
_atom_site_fract_x
_atom_site_fract_y
_atom_site_fract_z
La1 La 0.0331 0.0000 0.2502
La2 La 0.0891 0.5000 0.3958
La3 La 0.0896 0.5000 0.1043
La4 La 0.1371 0.0000 0.5347
La5 La 0.1369 0.0000 0.9653
La6 La 0.1761 0.5000 0.8268
La7 La 0.1766 0.5000 0.6734
Te1 Te 0.2016 0.5000 0.2495
As1 As 0.0000 0.5000 0.0000
As2 As 0.0000 0.5000 0.5000
As3 As 0.0440 0.0000 0.8563
As4 As 0.0446 0.0000 0.6437
As5 As 0.2272 0.0000 0.4264
As6 As 0.2276 0.0000 0.0734
```

## La4Te3As (GGA-PBE)

Data for a relaxed La4Te3As crystal.

Summary:
Uncorrected formation energy, kJ/mol of formula units: -1252

Cell and atoms, written as CIF:
```
data_La4Te3As
_chemical_formula_sum 'La8 Te6 As2'
_space_group_name_H-M_alt 'C m m m'
_space_group_IT_number 65
_space_group_name_Hall '-C 2 2'
_cell_length_a 9.1420
_cell_length_b 12.8240
_cell_length_c 4.4968
_cell_angle_alpha 90.00
_cell_angle_beta 90.00
_cell_angle_gamma 90.00
loop_
_atom_site_label
_atom_site_type_symbol
_atom_site_fract_x
_atom_site_fract_y
_atom_site_fract_z
La1 La 0.0000 0.2377 0.0000
La2 La 0.2284 0.0000 0.5000
Te1 Te 0.0000 0.5000 0.0000
Te2 Te 0.2500 0.2500 0.5000
As1 As 0.0000 0.0000 0.0000
```

## La3Te12As5 (GGA-PBE)

Data for a relaxed La3Te12As5 crystal.

Summary:
Uncorrected formation energy, kJ/mol of formula units: -965

Cell and atoms, written as CIF:
```
data_La3Te12As5
_chemical_formula_sum 'La24 Te96 As40'
_space_group_name_H-M_alt 'I a -3 d'
_space_group_IT_number 230
_space_group_name_Hall '-I 4bd 2c 3'
_cell_length_a 17.7751
_cell_length_b 17.7751
_cell_length_c 17.7751
_cell_angle_alpha 90.00
_cell_angle_beta 90.00
_cell_angle_gamma 90.00
loop_
_atom_site_label
_atom_site_type_symbol
_atom_site_fract_x
_atom_site_fract_y
_atom_site_fract_z
La1 La 0.0000 0.2500 0.1250
Te1 Te 0.0220 0.0611 0.6494
As1 As 0.0000 0.0000 0.0000
As2 As 0.0000 0.2500 0.3750
```

Number 1: volume 727 Å³ per cell, density of states at the Fermi level 7.29 states/eV per cell. Number 2: volume 390 Å³ per cell, density of states at the Fermi level 5.63 states/eV per cell. Number 3: volume 349 Å³ per cell, density of states at the Fermi level 7.83 states/eV per cell. Number 4: volume 789 Å³ per cell, density of states at the Fermi level 14.90 states/eV per cell. Number 5: volume 287 Å³ per cell, density of states at the Fermi level 7.87 states/eV per cell. Number 6: volume 1629 Å³ per cell, density of states at the Fermi level 25.01 states/eV per cell. Number 7: volume 527 Å³ per cell, density of states at the Fermi level 9.22 states/eV per cell. Number 8: volume 5616 Å³ per cell, density of states at the Fermi level 25.87 states/eV per cell.